# LiLa2As

An optimized crystal structure of LiLa2As (PBE-GGA, the Alexandria database).

a b c (Å): 7.128 7.149 4.053
angles (deg): 90.00 90.00 90.00
Space group Cmmm (No. 65)
One atom of each set of equivalent atoms:
Li (0.000, 0.000, 0.000) x2
La (0.250, 0.250, 0.500) x4
As (0.000, 0.500, 0.000) x2

DOS at the Fermi energy	5.9	states/eV/cell
energy of formation	-0.65	eV per atom